[1]
# Pr5Si4 | Alexandria via LeMat-Bulk | GGA-PBEsol | optimized geometry
# Energy   -220.91 eV per cell
data_Pr5Si4
_chemical_formula_sum 'Pr20 Si16'
_cell_length_a 7.860
_cell_length_b 7.860
_cell_length_c 15.051
_cell_angle_alpha 90.00
_cell_angle_beta 90.00
_cell_angle_gamma 90.00
_space_group_name_H-M_alt 'P 1'
_space_group_IT_number 1
loop_
_space_group_symop_operation_xyz
'x,y,z'
loop_
_atom_site_label
_atom_site_fract_x
_atom_site_fract_y
_atom_site_fract_z
Pr1 0.011 0.376 0.051
Pr2 0.018 0.873 0.124
Pr3 0.124 0.511 0.301
Pr4 0.127 0.982 0.376
Pr5 0.191 0.809 0.750
Pr6 0.309 0.309 0.500
Pr7 0.373 0.482 0.874
Pr8 0.376 0.011 0.949
Pr9 0.482 0.373 0.126
Pr10 0.489 0.876 0.199
Pr11 0.511 0.124 0.699
Pr12 0.518 0.627 0.626
Pr13 0.624 0.989 0.449
Pr14 0.627 0.518 0.374
Pr15 0.691 0.691 0.000
Pr16 0.809 0.191 0.250
Pr17 0.873 0.018 0.876
Pr18 0.876 0.489 0.801
Pr19 0.982 0.127 0.624
Pr20 0.989 0.624 0.551
Si1 0.077 0.711 0.940
Si2 0.168 0.197 0.799
Si3 0.197 0.168 0.201
Si4 0.211 0.423 0.690
Si5 0.289 0.923 0.560
Si6 0.303 0.668 0.049
Si7 0.332 0.697 0.451
Si8 0.423 0.211 0.310
Si9 0.577 0.789 0.810
Si10 0.668 0.303 0.951
Si11 0.697 0.332 0.549
Si12 0.711 0.077 0.060
Si13 0.789 0.577 0.190
Si14 0.803 0.832 0.701
Si15 0.832 0.803 0.299
Si16 0.923 0.289 0.440



[2]
# PrSi | Alexandria via LeMat-Bulk | GGA-PBEsol | optimized geometry
# Energy   -50.09 eV per cell
data_PrSi
_chemical_formula_sum 'Pr4 Si4'
_cell_length_a 8.229
_cell_length_b 3.923
_cell_length_c 5.911
_cell_angle_alpha 90.00
_cell_angle_beta 90.00
_cell_angle_gamma 90.00
_space_group_name_H-M_alt 'P 1'
_space_group_IT_number 1
loop_
_space_group_symop_operation_xyz
'x,y,z'
loop_
_atom_site_label
_atom_site_fract_x
_atom_site_fract_y
_atom_site_fract_z
Pr1 0.179 0.250 0.113
Pr2 0.321 0.750 0.613
Pr3 0.679 0.250 0.387
Pr4 0.821 0.750 0.887
Si1 0.035 0.250 0.621
Si2 0.465 0.750 0.121
Si3 0.535 0.250 0.879
Si4 0.965 0.750 0.379



[3]
# Pr2Si3 | Alexandria via LeMat-Bulk | GGA-PBEsol | optimized geometry
# Energy   -61.79 eV per cell
data_Pr2Si3
_chemical_formula_sum 'Pr4 Si6'
_cell_length_a 3.944
_cell_length_b 4.168
_cell_length_c 14.132
_cell_angle_alpha 90.00
_cell_angle_beta 90.00
_cell_angle_gamma 90.00
_space_group_name_H-M_alt 'P 1'
_space_group_IT_number 1
loop_
_space_group_symop_operation_xyz
'x,y,z'
loop_
_atom_site_label
_atom_site_fract_x
_atom_site_fract_y
_atom_site_fract_z
Pr1 0.000 0.000 0.000
Pr2 0.000 0.500 0.253
Pr3 0.500 0.000 0.753
Pr4 0.500 0.500 0.500
Si1 0.000 0.000 0.424
Si2 0.000 0.500 0.663
Si3 0.000 0.500 0.829
Si4 0.500 0.000 0.163
Si5 0.500 0.000 0.329
Si6 0.500 0.500 0.924



Look up the energy of the second one.
-50.09 eV per cell